Material: Ba4PSe2Cl
Method: DFT, PBE-GGA
State: optimized geometry

Unit cell a=4.7042 b=8.1153 c=8.1030 alpha=108.84 beta=90.00 gamma=90.00
Last column: nearest neighbours and their distance in Å.
Atoms (fractional coordinates):
Ba: 0.5000 0.2669 0.2524  1 P 3.20, 3 Se 3.27-3.39, 2 Cl 3.40
Ba: 0.5000 0.7331 0.7476  1 P 3.20, 3 Se 3.27-3.39, 2 Cl 3.40
Ba: 0.0000 0.2616 0.7577  2 P 3.27, 3 Se 3.27-3.40, 1 Cl 3.32
Ba: 0.0000 0.7384 0.2423  2 P 3.27, 3 Se 3.27-3.40, 1 Cl 3.32
P: 0.5000 0.5000 0.0000  6 Ba 3.20-3.27
Se: 0.5000 0.0000 0.5000  6 Ba 3.39-3.40
Se: 0.0000 0.5000 0.5000  6 Ba 3.27
Cl: 0.0000 0.0000 0.0000  6 Ba 3.32-3.40

Results
- Total moment: 0.00 Bohr magnetons per cell
- E_form (uncorrected): -1.83 eV per atom
- Volume: 292.77 Å³/cell